No. 1
Entry from the Alexandria database: an optimized crystal structure of YCoHg3 (PBE).

Geometry as POSCAR:
```
YCoHg3
1.0
4.9381 0.0000 0.0000
0.0000 4.9381 0.0000
0.0000 0.0000 4.9381
Hg Co Y
3 1 1
Direct
0.0000 0.0000 0.5000
0.0000 0.5000 0.0000
0.5000 0.0000 0.0000
0.0000 0.0000 0.0000
0.5000 0.5000 0.5000
```

Results
DFT formation energy = 141 meV per atom
symmetry = Pm-3m
M_tot = 1.5 Bohr magnetons per cell

---

No. 2
Entry from the Alexandria database: an optimized crystal structure of Y2Co2Hg (PBE).

Geometry as POSCAR:
```
Y2Co2Hg
1.0
3.9261 0.0000 0.0000
0.0000 3.6981 -1.0513
0.0000 0.0173 7.0907
Co Y Hg
2 2 1
Direct
0.0000 0.7916 0.5831
0.0000 0.2084 0.4169
0.5000 0.3643 0.7286
0.5000 0.6357 0.2714
0.0000 0.0000 0.0000
```

Results
DFT formation energy = -323 meV per atom
symmetry = Cmmm
M_tot = 1.6 Bohr magnetons per cell

---

No. 3
Entry from the Alexandria database: an optimized crystal structure of YCoHg2 (PBE).

Geometry as POSCAR:
```
YCoHg2
1.0
4.1767 0.0000 0.0000
0.0000 4.1767 0.0000
2.0884 2.0884 10.3386
Co Hg Y
2 4 2
Direct
0.2500 0.7500 0.5000
0.5000 0.5000 0.0000
0.1510 0.6250 0.2500
0.8750 0.8490 0.7500
0.3750 0.4010 0.7500
0.5990 0.1250 0.2500
0.7500 0.2500 0.5000
0.0000 0.0000 0.0000
```

Results
DFT formation energy = 191 meV per atom
symmetry = I-42d
M_tot = 1.3 Bohr magnetons per cell

---

No. 4
Entry from the Alexandria database: an optimized crystal structure of Y2CoHg (PBE).

Geometry as POSCAR:
```
Y2CoHg
1.0
3.9433 0.0000 0.0000
0.0000 4.0904 0.0067
0.0000 2.0445 5.8089
Co Hg Y
1 1 2
Direct
0.0000 0.7225 0.4309
0.5000 0.5569 0.7606
0.0000 0.9568 0.9604
0.5000 0.2638 0.3481
```

Results
DFT formation energy = -234 meV per atom
symmetry = Pm
M_tot = 0.0 Bohr magnetons per cell

---

No. 5
Entry from the Alexandria database: an optimized crystal structure of Y2CoHg (PBE).

Geometry as POSCAR:
```
Y2CoHg
1.0
-0.5866 -4.5803 3.3485
4.6555 -3.2376 0.6170
-1.2051 5.5594 0.4202
Y Hg Co
2 1 1
Direct
0.2500 0.7500 0.5000
0.0000 0.0000 0.0000
0.7500 0.2500 0.5000
0.5000 0.5000 0.0000
```

Results
DFT formation energy = -15 meV per atom
symmetry = I-4m2
M_tot = 0.3 Bohr magnetons per cell

---

No. 6
Entry from the Alexandria database: an optimized crystal structure of YCoHg4 (PBE).

Geometry as POSCAR:
```
YCoHg4
1.0
0.1333 -5.2968 2.2478
-4.0457 -3.8358 -1.4303
1.3493 -4.5026 -3.3215
Hg Co Y
4 1 1
Direct
0.8762 0.3746 0.3746
0.3746 0.3746 0.8762
0.3746 0.3746 0.3746
0.3746 0.8762 0.3746
0.0000 0.0000 0.0000
0.7500 0.7500 0.7500
```

Results
DFT formation energy = 261 meV per atom
symmetry = F-43m
M_tot = 0.9 Bohr magnetons per cell

---

No. 7
Entry from the Alexandria database: an optimized crystal structure of YCoHg2 (PBE).

Geometry as POSCAR:
```
YCoHg2
1.0
5.1246 -0.2753 -0.3088
1.4378 4.9264 0.3088
-3.0902 -2.5950 3.1857
Hg Y Co
2 1 1
Direct
0.7505 0.2505 0.5000
0.0012 0.0012 0.0000
0.4995 0.4995 0.0000
0.2488 0.7488 0.5000
```

Results
DFT formation energy = 14 meV per atom
symmetry = Imm2
M_tot = 1.2 Bohr magnetons per cell

---

No. 8
Entry from the Alexandria database: an optimized crystal structure of Y2Co2Hg (PBE).

Geometry as POSCAR:
```
Y2Co2Hg
1.0
5.2648 0.0000 0.0000
0.0000 5.2648 0.0000
2.6324 2.6324 3.8177
Y Co Hg
2 2 1
Direct
0.7500 0.2500 0.5000
0.2500 0.7500 0.5000
0.3521 0.3521 0.2959
0.6479 0.6479 0.7041
0.0000 0.0000 0.0000
```

Results
DFT formation energy = -12 meV per atom
symmetry = I4/mmm
M_tot = 1.3 Bohr magnetons per cell

---

No. 9
Entry from the Alexandria database: an optimized crystal structure of YCoHg2 (PBE).

Geometry as POSCAR:
```
YCoHg2
1.0
4.3032 0.0179 0.0000
-0.0180 4.3032 0.0000
0.0000 0.0000 4.5283
Co Hg Y
1 2 1
Direct
0.0000 0.5000 0.5000
0.5000 0.5000 0.0000
0.0000 0.0000 0.0000
0.5000 0.0000 0.5000
```

Results
DFT formation energy = 15 meV per atom
symmetry = P4/mmm
M_tot = 1.2 Bohr magnetons per cell

---

No. 10
Entry from the Alexandria database: an optimized crystal structure of YCo2Hg (PBE).

Geometry as POSCAR:
```
YCo2Hg
1.0
3.8399 0.0000 0.0000
0.0000 4.0017 -0.0006
0.0000 1.9986 4.7798
Co Hg Y
2 1 1
Direct
0.5000 0.0701 0.2351
0.0000 0.1823 0.0100
0.0000 0.4726 0.4304
0.5000 0.7750 0.8245
```

Results
DFT formation energy = 4 meV per atom
symmetry = Amm2
M_tot = 1.8 Bohr magnetons per cell

---

No. 11
Entry from the Alexandria database: an optimized crystal structure of YCoHg2 (PBE).

Geometry as POSCAR:
```
YCoHg2
1.0
3.3600 0.0000 0.0000
0.0000 3.3600 0.0000
0.0000 0.0000 7.4602
Hg Y Co
2 1 1
Direct
0.0000 0.0000 0.9577
0.5000 0.5000 0.2405
0.0000 0.0000 0.5445
0.5000 0.5000 0.7574
```

Results
DFT formation energy = -21 meV per atom
symmetry = P4mm
M_tot = 0.6 Bohr magnetons per cell

---

No. 12
Entry from the Alexandria database: an optimized crystal structure of YCoHg2 (PBE).

Geometry as POSCAR:
```
YCoHg2
1.0
4.4643 0.0000 0.0000
0.0000 3.5385 -0.0050
0.0000 1.7804 5.4058
Hg Y Co
2 1 1
Direct
0.0000 0.8907 0.9713
0.0000 0.6093 0.5287
0.5000 0.2500 0.2500
0.5000 0.7500 0.7500
```

Results
DFT formation energy = 48 meV per atom
symmetry = P2/m
M_tot = 0.7 Bohr magnetons per cell